# FeSeBr2 (PBE, relaxed)
data_FeSeBr2
_chemical_formula_sum 'Fe3 Se3 Br6'
_cell_length_a 3.2818
_cell_length_b 3.2818
_cell_length_c 37.1119
_cell_angle_alpha 90.00
_cell_angle_beta 90.00
_cell_angle_gamma 120.00
_space_group_name_H-M_alt 'R -3 m'
_space_group_IT_number 166
_space_group_name_Hall '-R 3 2"'
loop_
_atom_site_label
_atom_site_fract_x
_atom_site_fract_y
_atom_site_fract_z
_atom_site_occupancy
Fe1 0.0000 0.0000 0.0000 1
Se1 0.0000 0.0000 0.5000 1
Br1 0.0000 0.0000 0.0607 1
# * DOS at the Fermi energy: 17.34 states/eV per cell
# * calculated total energy: -40.35 eV per cell
# * energy above the most stable polymorph in this dataset: 658.3 meV/atom
# * uncorrected formation energy: 0.4609 eV/atom
# * magnetic moment: 3.18 μB per formula unit